# 1
{
  "formula": "PH3W",
  "functional": "PBE",
  "state": "relaxed",
  "lattice_angstrom": [[-0.175, -0.424, 3.306], [-1.378, -3.005, -0.459], [3.035, -1.389, -0.017]],
  "species": ["H", "P", "W", "H", "H"],
  "fractional_positions": [[0.000, 0.500, 0.000], [0.000, 0.000, 0.000], [0.500, 0.500, 0.500], [0.000, 0.000, 0.500], [0.500, 0.000, 0.000]],
  "magmom_total_mub_per_cell": 0.000,
  "e_above_lowest_polymorph_mev_per_atom": 392,
  "dos_ef_per_ev_cell": 1.313
}

---

# 2
{
  "formula": "MnBe3",
  "functional": "PBE",
  "state": "relaxed",
  "lattice_angstrom": [[4.389, 0.000, 0.001], [2.136, 3.834, -0.001], [-2.817, -2.676, 2.042]],
  "species": ["Mn", "Be", "Be", "Be"],
  "fractional_positions": [[0.500, 0.000, 0.500], [0.000, 0.500, 0.500], [0.761, 0.761, 0.000], [0.239, 0.239, 0.000]],
  "magmom_total_mub_per_cell": 0.000,
  "ef_ev_per_atom": -0.040,
  "dos_ef_per_ev_cell": 2.083
}

---

# 3
{
  "formula": "Y3PaAs4",
  "functional": "PBE",
  "state": "relaxed",
  "lattice_angstrom": [[5.312, 0.000, -2.357], [-1.046, 5.208, -2.357], [-0.020, -0.024, 7.117]],
  "species": ["As", "As", "As", "Pa", "Y", "As", "Y", "Y"],
  "fractional_positions": [[0.000, 0.500, 0.000], [0.246, 0.246, 0.491], [0.500, 0.000, 0.000], [0.000, 0.000, 0.000], [0.750, 0.250, 0.500], [0.754, 0.754, 0.509], [0.250, 0.750, 0.500], [0.500, 0.500, 0.000]],
  "magmom_total_mub_per_cell": 0.000,
  "e_above_lowest_polymorph_mev_per_atom": 0,
  "ef_ev_per_atom": -1.437,
  "dos_ef_per_ev_cell": 4.155
}

---

# 4
{
  "formula": "LiCeAlGa2",
  "functional": "PBE",
  "state": "relaxed",
  "lattice_angstrom": [[-4.055, -0.400, 1.132], [0.671, -4.062, 0.968], [2.984, 3.668, 4.088]],
  "species": ["Ce", "Li", "Al", "Ga", "Ga"],
  "fractional_positions": [[0.000, 0.000, 0.000], [0.750, 0.250, 0.500], [0.250, 0.750, 0.500], [0.387, 0.387, 0.773], [0.613, 0.613, 0.227]],
  "magmom_total_mub_per_cell": 0.826,
  "ef_ev_per_atom": -0.442,
  "dos_ef_per_ev_cell": 6.506
}

---

Number 1: energy -4.55 eV per atom. Number 2: energy -5.13 eV per atom. Number 3: energy -7.37 eV per atom. Number 4: energy -3.97 eV per atom.